Record 1
Cs2LaSeBr6 (PBE, optimized geometry); uncorrected energy = -3.367 eV per atom; formation energy from raw total energies = -1.3513 eV per atom
1.0
-3.5979 -3.8676 6.1154
-2.4608 -5.7685 -5.0960
2.6448 -8.2630 1.6692
Cs Se Br La
2 1 6 1
direct
0.7500 0.2500 0.5000 Cs
0.2500 0.7500 0.5000 Cs
0.5000 0.5000 0.0000 Se
0.2165 0.2165 0.5671 Br
0.7835 0.7835 0.4329 Br
0.2559 0.2559 0.0000 Br
0.7441 0.7441 0.0000 Br
0.7441 0.2559 0.0000 Br
0.2559 0.7441 0.0000 Br
0.0000 0.0000 0.0000 La

Record 2
Cs2LaSiBr6 (PBE, optimized geometry); uncorrected energy = -3.553 eV per atom; formation energy from raw total energies = -1.3439 eV per atom
1.0
8.5378 0.0000 0.0000
0.0000 8.5378 0.0000
4.2689 4.2689 5.6705
Cs Si Br La
2 1 6 1
direct
0.7500 0.2500 0.5000 Cs
0.2500 0.7500 0.5000 Cs
0.5000 0.5000 0.0000 Si
0.2602 0.2602 0.4795 Br
0.7398 0.7398 0.5205 Br
0.2432 0.2432 0.0000 Br
0.7568 0.7568 0.0000 Br
0.7568 0.2432 0.0000 Br
0.2432 0.7568 0.0000 Br
0.0000 0.0000 0.0000 La

Record 3
CsLaSnBr6 (PBE, optimized geometry); uncorrected energy = -3.776 eV per atom; formation energy from raw total energies = -1.5735 eV per atom
1.0
7.8215 -0.0004 0.0006
3.9105 6.7728 0.0010
0.0005 0.0004 7.9040
Cs La Sn Br
1 1 1 6
direct
0.0000 0.0000 0.0000 Cs
0.3333 0.3333 0.5000 La
0.6666 0.6667 0.5000 Sn
0.0045 0.3744 0.2854 Br
0.3744 0.0045 0.7145 Br
0.6211 0.3744 0.7145 Br
0.0044 0.6211 0.7145 Br
0.3744 0.6211 0.2855 Br
0.6211 0.0045 0.2854 Br

Record 4
Cs2SrLaBr6 (PBE, optimized geometry); uncorrected energy = -3.657 eV per atom; formation energy from raw total energies = -1.8213 eV per atom
1.0
8.4682 0.0000 0.0000
0.0000 8.5358 0.0000
0.0000 0.0000 12.0249
Cs Sr La Br
4 2 2 12
direct
0.5000 0.7542 0.2494 Cs
0.0000 0.2458 0.7494 Cs
0.5000 0.7542 0.7506 Cs
0.0000 0.2458 0.2506 Cs
0.0000 0.7469 0.5000 Sr
0.5000 0.2531 0.0000 Sr
0.5000 0.2471 0.5000 La
0.0000 0.7529 0.0000 La
0.5000 0.2474 0.2510 Br
0.5000 0.2474 0.7490 Br
0.0000 0.7526 0.2490 Br
0.0000 0.7526 0.7510 Br
0.2516 0.9974 0.5000 Br
0.7484 0.9974 0.5000 Br
0.2503 0.4954 0.5000 Br
0.7497 0.4954 0.5000 Br
0.7503 0.5046 0.0000 Br
0.2497 0.5046 0.0000 Br
0.2484 0.0026 0.0000 Br
0.7516 0.0026 0.0000 Br

no.,calculated density (g cm⁻³),total moment (μB/f.u.)
1,3.63,1.0
2,3.66,1.0
3,3.45,0.0
4,3.71,1.0